1.
! Pm2SmGa, relaxed, DFT PBE; values from VASP
&SYSTEM
  ibrav = 0, nat = 8, ntyp = 3
/
ATOMIC_SPECIES
Pm 145.00 Pm.upf
Sm 150.36 Sm.upf
Ga 69.72 Ga.upf
CELL_PARAMETERS angstrom
-3.491 3.199 -2.599
-1.993 -1.654 6.253
3.321 5.711 2.570
ATOMIC_POSITIONS angstrom
Pm -0.956 2.962 4.930
Pm 0.534 5.524 6.083
Pm -1.207 4.293 1.293
Pm -2.697 1.731 0.141
Sm 2.036 4.276 2.529
Sm -4.199 2.979 3.694
Ga -0.492 1.408 2.395
Ga -1.670 5.847 3.829
! offset from the most stable computed form = 0.19 eV per formula unit
! DFT formation energy = -0.205 eV/atom
! N(E_F) = 4.8 states/eV/f.u.

***

2.
! PmSm2Ga, relaxed, DFT PBE; values from VASP
&SYSTEM
  ibrav = 0, nat = 4, ntyp = 3
/
ATOMIC_SPECIES
Sm 150.36 Sm.upf
Pm 145.00 Pm.upf
Ga 69.72 Ga.upf
CELL_PARAMETERS angstrom
-4.874 2.387 0.164
-4.465 -2.863 -1.162
-3.513 -1.269 3.941
ATOMIC_POSITIONS angstrom
Sm -9.640 -1.308 2.207
Sm -3.213 -0.436 0.736
Pm 0.000 0.000 0.000
Ga -6.427 -0.872 1.471
! offset from the most stable computed form = 0.80 eV per formula unit
! DFT formation energy = -0.060 eV/atom
! N(E_F) = 6.0 states/eV/f.u.

***

3.
! PmSm3Ga3, relaxed, DFT PBE; values from VASP
&SYSTEM
  ibrav = 0, nat = 14, ntyp = 3
/
ATOMIC_SPECIES
Ga 69.72 Ga.upf
Sm 150.36 Sm.upf
Pm 145.00 Pm.upf
CELL_PARAMETERS angstrom
4.819 0.000 0.000
0.000 9.417 0.000
0.000 -4.709 8.156
ATOMIC_POSITIONS angstrom
Ga 3.614 6.300 4.471
Ga 1.205 -0.722 7.691
Ga 1.205 2.313 4.935
Ga 3.614 2.396 3.220
Ga 3.614 5.431 0.465
Ga 1.205 -1.591 3.685
Sm 3.614 2.353 0.168
Sm 3.614 8.095 1.954
Sm 3.614 3.678 6.033
Sm 1.205 1.031 2.122
Sm 1.205 -3.386 6.202
Sm 1.205 2.355 7.987
Pm 1.205 4.709 2.719
Pm 3.614 0.000 5.437
! DFT formation energy = -0.417 eV/atom
! N(E_F) = 6.0 states/eV/f.u.

***

4.
! Pm3SmGa4, relaxed, DFT PBE; values from VASP
&SYSTEM
  ibrav = 0, nat = 8, ntyp = 3
/
ATOMIC_SPECIES
Sm 150.36 Sm.upf
Ga 69.72 Ga.upf
Pm 145.00 Pm.upf
CELL_PARAMETERS angstrom
-1.128 -0.656 3.424
0.239 -3.605 -0.612
13.915 0.141 4.611
ATOMIC_POSITIONS angstrom
Sm -0.444 -2.130 1.406
Ga 12.197 0.124 4.042
Ga 1.718 0.017 0.569
Ga 8.702 0.088 2.884
Ga 5.213 0.053 1.727
Pm 3.023 -2.095 2.555
Pm 10.003 -2.024 4.868
Pm 6.513 -2.060 3.712
! DFT formation energy = -0.572 eV/atom
! N(E_F) = 4.0 states/eV/f.u.

***

5.
! PmSm3Ga2, relaxed, DFT PBE; values from VASP
&SYSTEM
  ibrav = 0, nat = 12, ntyp = 3
/
ATOMIC_SPECIES
Pm 145.00 Pm.upf
Sm 150.36 Sm.upf
Ga 69.72 Ga.upf
CELL_PARAMETERS angstrom
-0.471 -3.173 -6.249
-6.530 -2.894 1.962
0.095 8.878 -0.567
ATOMIC_POSITIONS angstrom
Pm 0.000 0.000 0.000
Pm -3.265 -1.447 0.981
Sm -1.868 -2.310 -2.634
Sm -5.133 -3.757 -1.653
Sm -0.477 2.353 -5.106
Sm -3.741 0.906 -4.125
Sm -3.164 1.906 -0.729
Sm -6.429 0.459 0.252
Ga -1.265 -0.611 -5.110
Ga -4.342 -0.798 -1.647
Ga -5.641 3.422 0.256
Ga -2.563 3.609 -3.207
! offset from the most stable computed form = 1.28 eV per formula unit
! DFT formation energy = -0.187 eV/atom
! N(E_F) = 7.6 states/eV/f.u.

***

6.
! Pm2SmGa, relaxed, DFT PBE; values from VASP
&SYSTEM
  ibrav = 0, nat = 4, ntyp = 3
/
ATOMIC_SPECIES
Sm 150.36 Sm.upf
Pm 145.00 Pm.upf
Ga 69.72 Ga.upf
CELL_PARAMETERS angstrom
-2.243 -1.978 1.923
0.821 -3.371 0.777
4.930 1.848 10.936
ATOMIC_POSITIONS angstrom
Sm 1.754 -1.750 6.818
Pm 3.547 0.919 8.368
Pm -0.038 -4.420 5.269
Ga 0.000 0.000 0.000
! offset from the most stable computed form = 1.66 eV per formula unit
! DFT formation energy = 0.163 eV/atom
! N(E_F) = 5.2 states/eV/f.u.

***

7.
! PmSmGa6, relaxed, DFT PBE; values from VASP
&SYSTEM
  ibrav = 0, nat = 8, ntyp = 3
/
ATOMIC_SPECIES
Ga 69.72 Ga.upf
Sm 150.36 Sm.upf
Pm 145.00 Pm.upf
CELL_PARAMETERS angstrom
4.599 0.000 0.000
0.000 6.396 -0.208
0.000 -3.019 5.643
ATOMIC_POSITIONS angstrom
Ga 2.300 5.397 0.413
Ga 0.000 -0.944 2.217
Ga 0.000 0.971 5.300
Ga 2.300 2.637 0.503
Ga 2.300 4.094 2.848
Ga 0.000 2.684 2.099
Sm 2.300 0.904 3.205
Pm 0.000 -2.235 5.156
! DFT formation energy = -0.571 eV/atom
! N(E_F) = 2.8 states/eV/f.u.

***

8.
! PmSmGa2, relaxed, DFT PBE; values from VASP
&SYSTEM
  ibrav = 0, nat = 4, ntyp = 3
/
ATOMIC_SPECIES
Sm 150.36 Sm.upf
Ga 69.72 Ga.upf
Pm 145.00 Pm.upf
CELL_PARAMETERS angstrom
-1.353 3.668 -2.124
0.947 -1.753 -3.630
-4.504 -3.936 0.725
ATOMIC_POSITIONS angstrom
Sm -5.409 -1.226 -0.819
Ga -3.570 -3.658 -1.527
Ga -2.534 -2.160 0.382
Pm -2.035 -0.919 -2.449
! DFT formation energy = -0.601 eV/atom
! N(E_F) = 4.1 states/eV/f.u.

***

9.
! Pm2SmGa, relaxed, DFT PBE; values from VASP
&SYSTEM
  ibrav = 0, nat = 4, ntyp = 3
/
ATOMIC_SPECIES
Pm 145.00 Pm.upf
Ga 69.72 Ga.upf
Sm 150.36 Sm.upf
CELL_PARAMETERS angstrom
-0.301 3.826 -3.860
-4.584 2.862 -0.643
-0.141 5.261 1.388
ATOMIC_POSITIONS angstrom
Pm -1.257 2.987 -0.779
Pm -3.770 8.962 -2.336
Ga 0.000 0.000 0.000
Sm -2.513 5.974 -1.557
! offset from the most stable computed form = 0.73 eV per formula unit
! DFT formation energy = -0.071 eV/atom
! N(E_F) = 6.4 states/eV/f.u.

***

10.
! Pm2SmGa6, relaxed, DFT PBE; values from VASP
&SYSTEM
  ibrav = 0, nat = 9, ntyp = 3
/
ATOMIC_SPECIES
Pm 145.00 Pm.upf
Ga 69.72 Ga.upf
Sm 150.36 Sm.upf
CELL_PARAMETERS angstrom
4.400 0.000 0.000
2.200 7.546 1.149
2.200 3.268 6.898
ATOMIC_POSITIONS angstrom
Pm 2.200 1.404 1.045
Pm 6.600 9.410 7.003
Ga 2.200 2.667 3.673
Ga 6.600 8.147 4.374
Ga 2.200 4.285 1.500
Ga 6.600 6.529 6.548
Ga 2.200 6.749 2.220
Ga 2.200 4.064 5.828
Sm 4.400 5.407 4.024
! offset from the most stable computed form = 2.05 eV per formula unit
! DFT formation energy = -0.456 eV/atom
! N(E_F) = 4.9 states/eV/f.u.

***

11.
! Pm2Sm3Ga3, relaxed, DFT PBE; values from VASP
&SYSTEM
  ibrav = 0, nat = 8, ntyp = 3
/
ATOMIC_SPECIES
Ga 69.72 Ga.upf
Sm 150.36 Sm.upf
Pm 145.00 Pm.upf
CELL_PARAMETERS angstrom
3.738 0.000 0.000
0.000 5.213 0.000
-1.869 -2.607 11.040
ATOMIC_POSITIONS angstrom
Ga 1.869 2.607 8.472
Ga 0.000 2.607 0.000
Ga 0.000 0.000 2.568
Sm 0.000 0.000 8.488
Sm 1.869 2.607 2.551
Sm 1.869 0.000 0.000
Pm 1.869 0.000 5.015
Pm 0.000 2.607 6.025
! DFT formation energy = -0.412 eV/atom
! N(E_F) = 5.6 states/eV/f.u.

***

12.
! PmSm3Ga, relaxed, DFT PBE; values from VASP
&SYSTEM
  ibrav = 0, nat = 10, ntyp = 3
/
ATOMIC_SPECIES
Sm 150.36 Sm.upf
Ga 69.72 Ga.upf
Pm 145.00 Pm.upf
CELL_PARAMETERS angstrom
7.562 0.019 -0.295
-2.050 7.278 0.295
-3.293 -3.243 6.004
ATOMIC_POSITIONS angstrom
Sm 5.248 -0.413 1.580
Sm -0.218 2.343 1.876
Sm 3.972 2.730 0.793
Sm -3.030 4.467 4.424
Sm -1.754 1.325 5.211
Sm 2.436 1.711 4.128
Ga 0.257 -0.194 3.715
Ga 1.962 4.248 2.289
Pm 2.772 -2.094 4.492
Pm -0.554 6.148 1.512
! offset from the most stable computed form = 0.69 eV per formula unit
! DFT formation energy = -0.065 eV/atom
! N(E_F) = 7.2 states/eV/f.u.

***

13.
! Pm2SmGa, relaxed, DFT PBE; values from VASP
&SYSTEM
  ibrav = 0, nat = 4, ntyp = 3
/
ATOMIC_SPECIES
Sm 150.36 Sm.upf
Ga 69.72 Ga.upf
Pm 145.00 Pm.upf
CELL_PARAMETERS angstrom
3.596 0.000 0.000
0.000 3.596 0.000
0.000 0.000 9.125
ATOMIC_POSITIONS angstrom
Sm 1.798 1.798 4.563
Ga 1.798 1.798 0.000
Pm 0.000 0.000 1.910
Pm 0.000 0.000 7.215
! offset from the most stable computed form = 0.00 eV per formula unit
! DFT formation energy = -0.252 eV/atom
! N(E_F) = 3.9 states/eV/f.u.

***

Which total moment belongs to each record? In order, 0.000, 0.313, 0.000, 0.000, 0.000, 0.000, 0.000, 0.000, 0.280, 0.000, 0.000, 0.000, 0.000 μB/atom.